# AsW2Br PBE-GGA optimized geometry
data_AsW2Br
_cell_length_a 3.0283
_cell_length_b 4.3107
_cell_length_c 10.6828
_cell_angle_alpha 90.00
_cell_angle_beta 90.00
_cell_angle_gamma 90.00
_symmetry_space_group_name_H-M 'I m m 2'
_symmetry_Int_Tables_number 44
loop_
_symmetry_equiv_pos_as_xyz
'x,y,z'
'-x,-y,z'
'-x,y,z'
'x,-y,z'
'x+1/2,y+1/2,z+1/2'
'-x+1/2,-y+1/2,z+1/2'
'-x+1/2,y+1/2,z+1/2'
'x+1/2,-y+1/2,z+1/2'
loop_
_atom_site_label
_atom_site_fract_x
_atom_site_fract_y
_atom_site_fract_z
As1 0.0000 0.0000 0.0000
W1 0.0000 0.0000 0.5697
W2 0.0000 0.5000 0.3015
Br1 0.0000 0.5000 0.7662
# Magnetization   0.000 μB/cell
# Raw formation energy   0.8882 eV/atom
# VASP energy   -7.169 eV/atom
# ΔE to the lowest computed polymorph   0.742 eV/atom